{"formula": "BiPtBr3", "functional": "PBEsol", "state": "optimized geometry", "lattice": [[-3.778, -2.007, -2.686], [3.131, -0.666, -3.908], [1.199, -4.587, 1.743]], "species": ["Br", "Br", "Br", "Bi", "Pt"], "frac_coords": [[0.000, 0.500, 0.000], [0.000, 0.000, 0.500], [0.500, 0.000, 0.000], [0.500, 0.500, 0.500], [0.000, 0.000, 0.000]], "polymorph_energy_mev_per_atom": 0, "spacegroup": "Pm-3m, No. 221", "density_g_cm3": 8.3}

***

{"formula": "BiPt2Br", "functional": "PBEsol", "state": "optimized geometry", "lattice": [[5.871, 0.743, 1.108], [-1.980, 5.577, -1.108], [-1.980, -3.139, 4.741]], "species": ["Br", "Br", "Bi", "Bi", "Pt", "Pt", "Pt", "Pt"], "frac_coords": [[0.500, 0.250, 0.750], [0.000, 0.500, 0.500], [0.500, 0.750, 0.250], [0.000, 0.000, 0.000], [0.995, 0.620, 0.125], [0.005, 0.130, 0.625], [0.495, 0.875, 0.870], [0.505, 0.375, 0.380]], "spacegroup": "I-42d, No. 122", "density_g_cm3": 13.9}

***

Total DFT energy (no corrections) readings, ordered: -16.5 -37.9 eV per cell
Volume readings, ordered: 128.91 162.55 Å³ per cell
Energy relative to the elements, uncorrected readings, ordered: 0.407 1.149 eV/f.u.